1.
Crystalline Co2SnGeP at its relaxed geometry, computed with PBE-GGA.

a = 4.461 Å, b = 4.461 Å, c = 4.706 Å
α = 90.00°, β = 90.00°, γ = 90.00°
Sites, in units of the cell vectors:
Co1 0.000 0.500 0.000
Co2 0.500 0.000 0.000
Sn1 0.000 0.000 0.500
Ge1 0.500 0.500 0.000
P1 0.500 0.500 0.500

Fermi-level density of states: 6.8 states/eV/f.u.
formation energy: 0.82 eV per atom

=====

2.
Crystalline Th2Co4GeP3 at its relaxed geometry, computed with PBE-GGA.

a = 4.028 Å, b = 4.028 Å, c = 9.338 Å
α = 90.00°, β = 90.00°, γ = 90.00°
Sites, in units of the cell vectors:
Th1 0.000 0.500 0.245
Th2 0.500 0.000 0.755
Co1 0.000 0.000 0.000
Co2 0.000 0.500 0.625
Co3 0.500 0.000 0.375
Co4 0.500 0.500 0.000
Ge1 0.000 0.000 0.500
P1 0.000 0.500 0.871
P2 0.500 0.000 0.129
P3 0.500 0.500 0.500

Fermi-level density of states: 4.4 states/eV/f.u.
formation energy: -0.94 eV per atom

=====

3.
Crystalline ThCo2Ge2P at its relaxed geometry, computed with PBE-GGA.

a = 4.266 Å, b = 4.266 Å, c = 5.556 Å
α = 90.00°, β = 90.00°, γ = 90.00°
Sites, in units of the cell vectors:
Th1 0.000 0.000 0.000
Co1 0.000 0.500 0.500
Co2 0.500 0.000 0.500
Ge1 0.500 0.500 0.237
Ge2 0.500 0.500 0.763
P1 0.000 0.000 0.500

Fermi-level density of states: 5.8 states/eV/f.u.
formation energy: -0.44 eV per atom

=====

4.
Crystalline Tl2CoGeP at its relaxed geometry, computed with PBE-GGA.

a = 5.089 Å, b = 5.089 Å, c = 4.427 Å
α = 90.00°, β = 90.00°, γ = 90.00°
Sites, in units of the cell vectors:
Tl1 0.000 0.500 0.000
Tl2 0.500 0.000 0.000
Co1 0.000 0.000 0.000
Ge1 0.000 0.000 0.500
P1 0.500 0.500 0.500

Fermi-level density of states: 4.1 states/eV/f.u.
formation energy: 0.47 eV per atom

=====

5.
Crystalline U3Co9GeP2 at its relaxed geometry, computed with PBE-GGA.

a = 5.982 Å, b = 5.982 Å, c = 7.466 Å
α = 90.00°, β = 90.00°, γ = 120.00°
Sites, in units of the cell vectors:
U1 0.000 0.000 0.000
U2 0.333 0.667 0.685
U3 0.667 0.333 0.315
Co1 0.000 0.500 0.000
Co2 0.137 0.275 0.255
Co3 0.137 0.863 0.255
Co4 0.275 0.137 0.745
Co5 0.500 0.000 0.000
Co6 0.500 0.500 0.000
Co7 0.725 0.863 0.255
Co8 0.863 0.137 0.745
Co9 0.863 0.725 0.745
Ge1 0.000 0.000 0.500
P1 0.333 0.667 0.207
P2 0.667 0.333 0.793

Fermi-level density of states: 18.3 states/eV/f.u.
formation energy: -0.14 eV per atom

=====

6.
Crystalline CoGe2PW at its relaxed geometry, computed with PBE-GGA.

a = 4.676 Å, b = 4.676 Å, c = 3.979 Å
α = 90.00°, β = 90.00°, γ = 90.00°
Sites, in units of the cell vectors:
Co1 0.000 0.000 0.000
Ge1 0.000 0.500 0.500
Ge2 0.500 0.000 0.500
P1 0.000 0.000 0.500
W1 0.500 0.500 0.000

Fermi-level density of states: 4.4 states/eV/f.u.
formation energy: 1.15 eV per atom

=====

Fermi-level density of states of number 6 (CoGe2PW)?
4.4 states/eV/f.u.

=====

Which of these has the lowest formation energy?
Th2Co4GeP3

=====

The lowest Fermi-level density of states belongs to which entry?
Tl2CoGeP

=====

Which value of formation energy does entry 1 give?
0.82 eV per atom